--- w ---
Compound: Tb5TeSe4
Source: Alexandria
Functional: GGA-PBE
Structure: optimized geometry

Calculated values
* symmetry: I4/mmm (139)

Cell: 15.0018 15.0018 15.0018 Å, 164.08 164.08 22.59°
Element x y z (fractional)
Tb (0.0000, 0.0000, 0.0000)
Tb (0.1969, 0.1969, 0.0000)
Tb (0.3943, 0.3943, 0.0000)
Tb (0.6057, 0.6057, 0.0000)
Tb (0.8031, 0.8031, 0.0000)
Te (0.5000, 0.5000, 0.0000)
Se (0.0995, 0.0995, 0.0000)
Se (0.2966, 0.2966, 0.0000)
Se (0.7034, 0.7034, 0.0000)
Se (0.9005, 0.9005, 0.0000)

--- x ---
Compound: Tb5TeSe4
Source: Alexandria
Functional: GGA-PBE
Structure: optimized geometry

Calculated values
* symmetry: C2/m (12)

Cell: 7.2249 7.2249 10.1834 Å, 118.40 118.40 33.27°
Element x y z (fractional)
Tb (0.0000, 0.0000, 0.0000)
Tb (0.2092, 0.2092, 0.8153)
Tb (0.3870, 0.3870, 0.6070)
Tb (0.6130, 0.6130, 0.3930)
Tb (0.7908, 0.7908, 0.1847)
Te (0.0000, 0.0000, 0.5000)
Se (0.2042, 0.2042, 0.2937)
Se (0.4062, 0.4062, 0.1074)
Se (0.5938, 0.5938, 0.8926)
Se (0.7958, 0.7958, 0.7063)

x comes first in stability; the runner-up is 23 meV/atom higher.

--- w ---
Compound: Tb4TeSe3
Source: Alexandria
Functional: GGA-PBE
Structure: optimized geometry

Calculated values
* symmetry: Pmmn (59)

Cell: 5.8540 9.8575 8.4021 Å, 90.00 90.00 90.00°
Element x y z (fractional)
Tb (0.2500, 0.0553, 0.1499)
Tb (0.2500, 0.2500, 0.7502)
Tb (0.2500, 0.4447, 0.1499)
Tb (0.2500, 0.7500, 0.6183)
Tb (0.7500, 0.2500, 0.3817)
Tb (0.7500, 0.5553, 0.8501)
Tb (0.7500, 0.7500, 0.2498)
Tb (0.7500, 0.9447, 0.8501)
Te (0.2500, 0.7500, 0.2504)
Te (0.7500, 0.2500, 0.7496)
Se (0.2500, 0.2500, 0.4063)
Se (0.2500, 0.5351, 0.8287)
Se (0.2500, 0.9649, 0.8287)
Se (0.7500, 0.0351, 0.1713)
Se (0.7500, 0.4649, 0.1713)
Se (0.7500, 0.7500, 0.5937)

--- x ---
Compound: Tb4TeSe3
Source: Alexandria
Functional: GGA-PBE
Structure: optimized geometry

Calculated values
* symmetry: P6_3/mmc (194)

Cell: 4.1159 4.1159 27.8695 Å, 90.00 90.00 120.00°
Element x y z (fractional)
Tb (0.0000, 0.0000, 0.1767)
Tb (0.0000, 0.0000, 0.3233)
Tb (0.0000, 0.0000, 0.6767)
Tb (0.0000, 0.0000, 0.8233)
Tb (0.3333, 0.6667, 0.0630)
Tb (0.3333, 0.6667, 0.4370)
Tb (0.6667, 0.3333, 0.5630)
Tb (0.6667, 0.3333, 0.9370)
Te (0.3333, 0.6667, 0.2500)
Te (0.6667, 0.3333, 0.7500)
Se (0.0000, 0.0000, 0.0000)
Se (0.0000, 0.0000, 0.5000)
Se (0.3333, 0.6667, 0.6196)
Se (0.3333, 0.6667, 0.8804)
Se (0.6667, 0.3333, 0.1196)
Se (0.6667, 0.3333, 0.3804)

x comes first in stability; the runner-up is 226 meV/atom higher.

--- w ---
Compound: TbThSe
Source: Alexandria
Functional: GGA-PBE
Structure: optimized geometry

Calculated values
* symmetry: C2/m (12)

Cell: 12.9856 12.9856 3.6314 Å, 90.04 90.04 16.86°
Element x y z (fractional)
Tb (0.1949, 0.1949, 0.2494)
Tb (0.8051, 0.8051, 0.7506)
Th (0.0567, 0.0567, 0.7495)
Th (0.9433, 0.9433, 0.2505)
Se (0.3539, 0.3539, 0.2510)
Se (0.6461, 0.6461, 0.7490)

--- x ---
Compound: TbThSe
Source: Alexandria
Functional: GGA-PBE
Structure: optimized geometry

Calculated values
* symmetry: P3m1 (156)

Cell: 3.8935 3.8935 6.7977 Å, 90.00 90.00 120.00°
Element x y z (fractional)
Tb (0.0000, 0.0000, 0.0000)
Th (0.3333, 0.6667, 0.5686)
Se (0.6667, 0.3333, 0.2720)

x comes first in stability; the runner-up is 148 meV/atom higher.